--- w ---
Here is an optimized crystal structure of Ti3AgH from Alexandria. Energies are from PBE.

a = 4.9668 Å, b = 4.9668 Å, c = 4.9668 Å
α = 90.00°, β = 90.00°, γ = 90.00°
With the nearest neighbours (Å) after each atom.
Atoms (fractional coordinates):
1 H 0.5000 0.5000 0.5000  12 Ti 3.51
2 Ag 0.0000 0.0000 0.0000  6 Ti 2.48
3 Ti 0.0000 0.5000 0.0000  2 Ag 2.48
4 Ti 0.0000 0.0000 0.5000  2 Ag 2.48
5 Ti 0.5000 0.0000 0.0000  2 Ag 2.48

Output
As for the calculated density: 3.42 g/cm³. The value obtained for the spin magnetization is 4.34 Bohr magnetons per cell. Its calculated volume is 122.52 Å³/cell.

---

--- x ---
Here is an optimized crystal structure of Ti3AgH from Alexandria. Energies are from PBE.

a = 4.1095 Å, b = 4.1095 Å, c = 4.1095 Å
α = 90.00°, β = 90.00°, γ = 90.00°
With the nearest neighbours (Å) after each atom.
Atoms (fractional coordinates):
1 H 0.0000 0.0000 0.0000  6 Ti 2.05
2 Ag 0.5000 0.5000 0.5000  12 Ti 2.91
3 Ti 0.0000 0.5000 0.0000  2 H 2.05
4 Ti 0.0000 0.0000 0.5000  2 H 2.05
5 Ti 0.5000 0.0000 0.0000  2 H 2.05

Output
As for the calculated density: 6.04 g/cm³. The value obtained for the spin magnetization is 0.02 Bohr magnetons per cell. Its calculated volume is 69.40 Å³/cell.

---

Least stable = w